Entry 1:
Density functional theory data (PBE) for a geometry-optimized Al5V5Ga structure.

Lattice parameters (Å, degrees): 6.529 6.529 7.345 118.55 118.55 41.98
Fractional positions:
1 Al 0.000 0.000 0.000
2 Al 0.297 0.297 0.632
3 Al 0.420 0.420 0.080
4 Al 0.580 0.580 0.920
5 Al 0.703 0.703 0.368
6 V 0.173 0.173 0.868
7 V 0.271 0.271 0.243
8 V 0.500 0.500 0.500
9 V 0.729 0.729 0.757
10 V 0.827 0.827 0.132
11 Ga 0.000 0.000 0.500


Entry 2:
Density functional theory data (PBE) for a geometry-optimized AlVGa structure.

Lattice parameters (Å, degrees): 7.023 7.023 7.023 150.34 146.98 44.97
Fractional positions:
1 Al 0.155 0.155 0.000
2 Al 0.845 0.845 0.000
3 V 0.000 0.500 0.500
4 V 0.500 0.000 0.500
5 Ga 0.352 0.352 0.000
6 Ga 0.648 0.648 0.000

Computed properties:
For the energy above the lowest structure with this stoichiometry, the calculation gives 0.000 eV per atom.


Entry 3:
Density functional theory data (PBE) for a geometry-optimized Al2V5Ga2 structure.

Lattice parameters (Å, degrees): 8.933 8.933 8.933 56.21 148.23 134.91
Fractional positions:
1 Al 0.097 0.082 0.179
2 Al 0.097 0.418 0.515
3 Al 0.903 0.582 0.485
4 Al 0.903 0.918 0.821
5 V 0.112 0.740 0.872
6 V 0.306 0.156 0.818
7 V 0.306 0.989 0.650
8 V 0.339 0.489 0.182
9 V 0.339 0.656 0.350
10 V 0.541 0.051 0.295
11 V 0.541 0.746 0.990
12 V 0.756 0.246 0.705
13 V 0.756 0.551 0.010
14 V 0.868 0.240 0.128
15 Ga 0.333 0.333 0.000
16 Ga 0.333 0.833 0.500
17 Ga 0.539 0.394 0.645
18 Ga 0.749 0.894 0.355


Entry 4:
Density functional theory data (PBE) for a geometry-optimized Al3V6Ga2 structure.

Lattice parameters (Å, degrees): 8.464 8.464 2.660 90.00 90.00 120.51
Fractional positions:
1 Al 0.000 0.000 0.000
2 Al 0.251 0.749 0.500
3 Al 0.749 0.251 0.500
4 V 0.075 0.403 0.000
5 V 0.403 0.075 0.000
6 V 0.413 0.587 0.000
7 V 0.587 0.413 0.000
8 V 0.597 0.925 0.000
9 V 0.925 0.597 0.000
10 Ga 0.267 0.267 0.500
11 Ga 0.733 0.733 0.500


Entry 5:
Density functional theory data (PBE) for a geometry-optimized Al7V3Ga structure.

Lattice parameters (Å, degrees): 5.638 5.638 6.597 90.00 90.00 120.00
Fractional positions:
1 Al 0.000 0.000 0.000
2 Al 0.165 0.331 0.346
3 Al 0.165 0.835 0.346
4 Al 0.502 0.005 0.981
5 Al 0.502 0.498 0.981
6 Al 0.669 0.835 0.346
7 Al 0.995 0.498 0.981
8 V 0.304 0.152 0.670
9 V 0.848 0.152 0.670
10 V 0.848 0.696 0.670
11 Ga 0.667 0.333 0.354


Entry 6:
Density functional theory data (PBE) for a geometry-optimized Al5V6Ga structure.

Lattice parameters (Å, degrees): 6.961 6.961 6.961 147.00 108.73 80.81
Fractional positions:
1 Al 0.000 0.000 0.000
2 Al 0.166 0.666 0.500
3 Al 0.333 0.333 0.000
4 Al 0.667 0.667 0.000
5 Al 0.834 0.334 0.500
6 V 0.083 0.833 0.250
7 V 0.250 0.500 0.750
8 V 0.417 0.167 0.250
9 V 0.583 0.833 0.750
10 V 0.750 0.500 0.250
11 V 0.917 0.167 0.750
12 Ga 0.500 0.000 0.500


no.,energy of formation from the pure elements (eV per formula unit),DOS(E_F) (states/eV per atom),final energy (eV per atom)
1,1.72,1.08,-5.965
2,-0.58,0.54,-5.489
3,-0.35,0.80,-6.609
4,0.31,0.89,-6.517
5,1.44,0.74,-5.013
6,-2.66,0.63,-6.593